Computed, not measured: a relaxed Mn2CuSi crystal at the PBE level of DFT.

Results
DFT total energy, eV/atom: -7.033
Volume, A^3/atom: 11.94
Formation energy (no corrections), eV/atom: -0.068

abc: 2.6205 2.6205 6.9554
angles: 90.00 90.00 90.00
With the nearest neighbours (Å) after each atom.
Fractional positions:
Mn: 0.0000 0.0000 0.2337  4 Si 2.46, 4 Cu 2.62, 4 Mn 2.62
Mn: 0.0000 0.0000 0.7663  4 Si 2.46, 4 Cu 2.62, 4 Mn 2.62
Cu: 0.5000 0.5000 0.5000  8 Mn 2.62, 4 Cu 2.62
Si: 0.5000 0.5000 0.0000  8 Mn 2.46, 4 Si 2.62

Computed, not measured: a relaxed MnCuSiTc crystal at the PBE level of DFT.

Results
DFT total energy, eV/atom: -7.324
Volume, A^3/atom: 12.85
Formation energy (no corrections), eV/atom: -0.060

abc: 4.1730 4.1730 4.1730
angles: 60.00 60.00 60.00
With the nearest neighbours (Å) after each atom.
Fractional positions:
Mn: 0.0000 0.0000 0.0000  4 Tc 2.56, 4 Cu 2.56
Cu: 0.7500 0.7500 0.7500  4 Si 2.56, 4 Mn 2.56
Si: 0.5000 0.5000 0.5000  4 Cu 2.56, 4 Tc 2.56
Tc: 0.2500 0.2500 0.2500  4 Si 2.56, 4 Mn 2.56

Computed, not measured: a relaxed MnCuSi2Te crystal at the PBE level of DFT.

Results
DFT total energy, eV/atom: -4.903
Volume, A^3/atom: 19.16
Formation energy (no corrections), eV/atom: 0.548

abc: 4.4173 4.4173 4.9108
angles: 90.00 90.00 90.00
With the nearest neighbours (Å) after each atom.
Fractional positions:
Mn: 0.0000 0.0000 0.0000  4 Si 2.21, 2 Cu 2.46
Cu: 0.0000 0.0000 0.5000  2 Mn 2.46
Si: 0.0000 0.5000 0.0000  2 Mn 2.21
Si: 0.5000 0.0000 0.0000  2 Mn 2.21
Te: 0.5000 0.5000 0.5000  4 Cu 3.12, 8 Si 3.30

Computed, not measured: a relaxed MnCu2SiTe4 crystal at the PBE level of DFT.

Results
DFT total energy, eV/atom: -4.510
Volume, A^3/atom: 27.66
Formation energy (no corrections), eV/atom: -0.091

abc: 7.3460 7.3460 7.3460
angles: 130.93 130.93 71.93
With the nearest neighbours (Å) after each atom.
Fractional positions:
Mn: 0.0000 0.0000 0.0000  4 Te 2.73
Cu: 0.2500 0.7500 0.5000  4 Te 2.59
Cu: 0.7500 0.2500 0.5000  4 Te 2.59
Si: 0.5000 0.5000 0.0000  4 Te 2.58
Te: 0.1304 0.1304 0.5214  1 Si 2.58, 2 Cu 2.59, 1 Mn 2.73
Te: 0.3910 0.8696 0.0000  1 Si 2.58, 2 Cu 2.59, 1 Mn 2.73
Te: 0.6090 0.6090 0.4786  1 Si 2.58, 2 Cu 2.59, 1 Mn 2.73
Te: 0.8696 0.3910 0.0000  1 Si 2.58, 2 Cu 2.59, 1 Mn 2.73

Computed, not measured: a relaxed SmMnCu crystal at the PBE level of DFT.

Results
DFT total energy, eV/atom: -5.948
Volume, A^3/atom: 19.14
Calculated formation energy, meV per atom: 47

abc: 5.5176 5.5176 5.3588
angles: 91.76 91.76 44.76
With the nearest neighbours (Å) after each atom.
Fractional positions:
Sm: 0.0000 0.0000 0.0000  3 Cu 2.85-3.08, 2 Mn 2.97-2.98
Sm: 0.5919 0.5919 0.5045  5 Mn 2.88-3.22, 2 Cu 2.97-3.00
Mn: 0.2932 0.2932 0.7633  4 Cu 2.60-2.70, 2 Mn 2.69
Mn: 0.8735 0.8735 0.4934  2 Cu 2.55, 2 Mn 2.69
Cu: 0.2977 0.2977 0.2601  4 Mn 2.55-2.70, 2 Cu 2.60
Cu: 0.7213 0.7213 0.0097  2 Cu 2.60, 2 Mn 2.60, 1 Sm 2.85

Computed, not measured: a relaxed TbSmMnCu crystal at the PBE level of DFT.

Results
DFT total energy, eV/atom: -5.593
Volume, A^3/atom: 22.31
Calculated formation energy, meV per atom: 61

abc: 5.0160 5.0160 5.0160
angles: 60.00 60.00 60.00
With the nearest neighbours (Å) after each atom.
Fractional positions:
Tb: 0.0000 0.0000 0.0000  4 Cu 3.07, 4 Mn 3.07
Sm: 0.5000 0.5000 0.5000  4 Cu 3.07, 4 Mn 3.07
Mn: 0.2500 0.2500 0.2500  4 Tb 3.07, 4 Sm 3.07
Cu: 0.7500 0.7500 0.7500  4 Tb 3.07, 4 Sm 3.07

Computed, not measured: a relaxed SmThMnCu crystal at the PBE level of DFT.

Results
DFT total energy, eV/atom: -6.254
Volume, A^3/atom: 22.51
Calculated formation energy, meV per atom: 97

abc: 5.0309 5.0309 5.0309
angles: 60.00 60.00 60.00
With the nearest neighbours (Å) after each atom.
Fractional positions:
Sm: 0.0000 0.0000 0.0000  4 Mn 3.08, 4 Cu 3.08
Th: 0.5000 0.5000 0.5000  4 Mn 3.08, 4 Cu 3.08
Mn: 0.2500 0.2500 0.2500  4 Th 3.08, 4 Sm 3.08
Cu: 0.7500 0.7500 0.7500  4 Th 3.08, 4 Sm 3.08

Computed, not measured: a relaxed SmTmMnCu crystal at the PBE level of DFT.

Results
DFT total energy, eV/atom: -5.569
Volume, A^3/atom: 21.72
Calculated formation energy, meV per atom: 45

abc: 4.9716 4.9716 4.9716
angles: 60.00 60.00 60.00
With the nearest neighbours (Å) after each atom.
Fractional positions:
Sm: 0.0000 0.0000 0.0000  4 Cu 3.04, 4 Mn 3.04
Tm: 0.5000 0.5000 0.5000  4 Cu 3.04, 4 Mn 3.04
Mn: 0.2500 0.2500 0.2500  4 Tm 3.04, 4 Sm 3.04
Cu: 0.7500 0.7500 0.7500  4 Tm 3.04, 4 Sm 3.04

Computed, not measured: a relaxed Sm2MnZn12Cu3 crystal at the PBE level of DFT.

Results
DFT total energy, eV/atom: -2.542
Volume, A^3/atom: 17.81
Calculated formation energy, meV per atom: 24

abc: 11.8936 11.8936 11.8936
angles: 27.69 27.69 27.69
With the nearest neighbours (Å) after each atom.
Fractional positions:
Sm: 0.1420 0.1420 0.1420  9 Zn 3.05-3.26, 3 Mn 3.39
Sm: 0.8580 0.8580 0.8580  9 Zn 3.05-3.26, 3 Mn 3.39
Mn: 0.5000 0.5000 0.5000  6 Zn 2.54
Zn: 0.1014 0.1014 0.6403  2 Cu 2.48, 4 Zn 2.61-2.62
Zn: 0.1014 0.6403 0.1014  2 Cu 2.48, 4 Zn 2.61-2.62
Zn: 0.1133 0.6079 0.6079  1 Mn 2.54, 4 Zn 2.61-2.82
Zn: 0.3597 0.8986 0.8986  2 Cu 2.48, 4 Zn 2.61-2.62
Zn: 0.3921 0.3921 0.8867  1 Mn 2.54, 4 Zn 2.61-2.82
Zn: 0.3921 0.8867 0.3921  1 Mn 2.54, 4 Zn 2.61-2.82
Zn: 0.6079 0.1133 0.6079  1 Mn 2.54, 4 Zn 2.61-2.82
Zn: 0.6079 0.6079 0.1133  1 Mn 2.54, 4 Zn 2.61-2.82
Zn: 0.6403 0.1013 0.1014  2 Cu 2.48, 4 Zn 2.61-2.62
Zn: 0.8867 0.3921 0.3921  1 Mn 2.54, 4 Zn 2.61-2.82
Zn: 0.8986 0.3597 0.8986  2 Cu 2.48, 4 Zn 2.61-2.62
Zn: 0.8986 0.8986 0.3597  2 Cu 2.48, 4 Zn 2.61-2.62
Cu: 0.0000 0.5000 0.5000  4 Zn 2.48
Cu: 0.5000 0.0000 0.5000  4 Zn 2.48
Cu: 0.5000 0.5000 0.0000  4 Zn 2.48

Computed, not measured: a relaxed MnCuSn3 crystal at the PBE level of DFT.

Results
DFT total energy, eV/atom: -4.483
Volume, A^3/atom: 26.28
Calculated formation energy, meV per atom: 572

abc: 5.0841 5.0841 5.0841
angles: 90.00 90.00 90.00
With the nearest neighbours (Å) after each atom.
Fractional positions:
Mn: 0.0000 0.0000 0.0000  12 Sn 3.59
Cu: 0.5000 0.5000 0.5000  6 Sn 2.54
Sn: 0.0000 0.5000 0.5000  2 Cu 2.54
Sn: 0.5000 0.0000 0.5000  2 Cu 2.54
Sn: 0.5000 0.5000 0.0000  2 Cu 2.54

Computed, not measured: a relaxed MnCuSn4 crystal at the PBE level of DFT.

Results
DFT total energy, eV/atom: -4.795
Volume, A^3/atom: 21.46
Calculated formation energy, meV per atom: 85

abc: 7.5284 7.5284 7.5284
angles: 127.98 127.98 76.66
With the nearest neighbours (Å) after each atom.
Fractional positions:
Mn: 0.2500 0.2500 0.0000  8 Sn 2.85, 2 Cu 2.95
Mn: 0.7500 0.7500 0.0000  8 Sn 2.85, 2 Cu 2.95
Cu: 0.0000 0.0000 0.0000  8 Sn 2.91, 2 Mn 2.95
Cu: 0.5000 0.5000 0.0000  8 Sn 2.91, 2 Mn 2.95
Sn: 0.0340 0.5340 0.8279  2 Mn 2.85, 2 Cu 2.91, 2 Sn 3.06-3.07
Sn: 0.2061 0.0340 0.5000  2 Mn 2.85, 2 Cu 2.91, 2 Sn 3.06-3.07
Sn: 0.2939 0.7939 0.8279  2 Mn 2.85, 2 Cu 2.91, 2 Sn 3.06-3.07
Sn: 0.4660 0.2939 0.5000  2 Mn 2.85, 2 Cu 2.91, 2 Sn 3.06-3.07
Sn: 0.5340 0.7061 0.5000  2 Mn 2.85, 2 Cu 2.91, 2 Sn 3.06-3.07
Sn: 0.7061 0.2061 0.1721  2 Mn 2.85, 2 Cu 2.91, 2 Sn 3.06-3.07
Sn: 0.7939 0.9660 0.5000  2 Mn 2.85, 2 Cu 2.91, 2 Sn 3.06-3.07
Sn: 0.9660 0.4660 0.1721  2 Mn 2.85, 2 Cu 2.91, 2 Sn 3.06-3.07

Computed, not measured: a relaxed Mn3CuSn crystal at the PBE level of DFT.

Results
DFT total energy, eV/atom: -5.678
Volume, A^3/atom: 30.96
Calculated formation energy, meV per atom: 1444

abc: 5.3696 5.3696 5.3696
angles: 90.00 90.00 90.00
With the nearest neighbours (Å) after each atom.
Fractional positions:
Mn: 0.0000 0.0000 0.5000  2 Sn 2.68
Mn: 0.0000 0.5000 0.0000  2 Sn 2.68
Mn: 0.5000 0.0000 0.0000  2 Sn 2.68
Cu: 0.5000 0.5000 0.5000  12 Mn 3.80
Sn: 0.0000 0.0000 0.0000  6 Mn 2.68

volume of number 1 (Mn2CuSi)?
11.94 A^3/atom